Record 1
Ho7Al5Sn: relaxed, PBE-GGA.

```
data_Ho7Al5Sn
_chemical_formula_sum 'Ho14 Al10 Sn2'
_symmetry_space_group_name_H-M 'I m m 2'
_symmetry_Int_Tables_number 44
_cell_length_a 6.120
_cell_length_b 10.103
_cell_length_c 10.516
_cell_angle_alpha 90.00
_cell_angle_beta 90.00
_cell_angle_gamma 90.00
loop_
_symmetry_equiv_pos_as_xyz
'x,y,z'
'-x,-y,z'
'-x,y,z'
'x,-y,z'
'x+1/2,y+1/2,z+1/2'
'-x+1/2,-y+1/2,z+1/2'
'-x+1/2,y+1/2,z+1/2'
'x+1/2,-y+1/2,z+1/2'
loop_
_atom_site_label
_atom_site_fract_x
_atom_site_fract_y
_atom_site_fract_z
Ho1 0.000 0.000 0.000
Ho2 0.000 0.000 0.372
Ho3 0.000 0.318 0.586
Ho4 0.000 0.332 0.076
Ho5 0.000 0.500 0.326
Al1 0.000 0.500 0.825
Al2 0.228 0.247 0.838
Sn1 0.000 0.000 0.679
```

Computed properties:
calculated volume: 650 Å³ per cell
ΔH_f (0 K): -0.265 eV per atom
crystal system: orthorhombic

=====

Record 2
CuPRu2: relaxed, PBE-GGA.

```
data_CuPRu2
_chemical_formula_sum 'Cu1 P1 Ru2'
_symmetry_space_group_name_H-M 'P 4/m m m'
_symmetry_Int_Tables_number 123
_symmetry_space_group_name_Hall '-P 4 2'
_cell_length_a 2.894
_cell_length_b 2.894
_cell_length_c 6.155
_cell_angle_alpha 90.00
_cell_angle_beta 90.00
_cell_angle_gamma 90.00
loop_
_atom_site_label
_atom_site_fract_x
_atom_site_fract_y
_atom_site_fract_z
Cu1 0.000 0.000 0.000
P1 0.000 0.000 0.500
Ru1 0.500 0.500 0.279
```

Computed properties:
calculated volume: 52 Å³ per cell
ΔH_f (0 K): -0.094 eV per atom
crystal system: tetragonal

=====

Record 3
Sn6TeSe3S2: relaxed, PBE-GGA.

```
data_Sn6TeSe3S2
_chemical_formula_sum 'Sn12 Te2 Se6 S4'
_symmetry_space_group_name_H-M 'C 1 2/m 1'
_symmetry_Int_Tables_number 12
_cell_length_a 18.647
_cell_length_b 4.260
_cell_length_c 8.677
_cell_angle_alpha 90.00
_cell_angle_beta 102.77
_cell_angle_gamma 90.00
loop_
_symmetry_equiv_pos_as_xyz
'x,y,z'
'-x,-y,-z'
'-x,y,-z'
'x,-y,z'
'x+1/2,y+1/2,z'
'-x+1/2,-y+1/2,-z'
'-x+1/2,y+1/2,-z'
'x+1/2,-y+1/2,z'
loop_
_atom_site_label
_atom_site_fract_x
_atom_site_fract_y
_atom_site_fract_z
Sn1 0.003 0.000 0.265
Sn2 0.170 0.500 0.590
Sn3 0.173 0.500 0.108
Te1 0.000 0.500 0.000
Se1 0.000 0.500 0.500
Se2 0.161 0.000 0.816
S1 0.172 0.000 0.318
```

Computed properties:
calculated volume: 672 Å³ per cell
crystal system: monoclinic
formation energy without anion corrections: -4.6 eV/f.u.

=====

Record 4
LaBiAu3: relaxed, PBE-GGA.

```
data_LaBiAu3
_chemical_formula_sum 'La4 Bi4 Au12'
_symmetry_space_group_name_H-M 'P 1 21/c 1'
_symmetry_Int_Tables_number 14
_cell_length_a 9.188
_cell_length_b 6.190
_cell_length_c 9.026
_cell_angle_alpha 90.00
_cell_angle_beta 104.95
_cell_angle_gamma 90.00
loop_
_symmetry_equiv_pos_as_xyz
'x,y,z'
'-x,-y,-z'
'-x,y+1/2,-z+1/2'
'x,-y+1/2,z+1/2'
loop_
_atom_site_label
_atom_site_fract_x
_atom_site_fract_y
_atom_site_fract_z
La1 0.207 0.069 0.228
Bi1 0.488 0.727 0.422
Au1 0.013 0.202 0.443
Au2 0.165 0.554 0.365
Au3 0.294 0.578 0.102
```

Computed properties:
calculated volume: 496 Å³ per cell
ΔH_f (0 K): -0.532 eV per atom
offset from the most stable computed form: 0 meV per atom
crystal system: monoclinic

=====

Record 5
Sm2Mg5Sn3Pb2: relaxed, PBE-GGA.

```
data_Sm2Mg5Sn3Pb2
_chemical_formula_sum 'Sm4 Mg10 Sn6 Pb4'
_symmetry_space_group_name_H-M 'I 4/m m m'
_symmetry_Int_Tables_number 139
_symmetry_space_group_name_Hall '-I 4 2'
_cell_length_a 4.446
_cell_length_b 4.446
_cell_length_c 35.590
_cell_angle_alpha 90.00
_cell_angle_beta 90.00
_cell_angle_gamma 90.00
loop_
_atom_site_label
_atom_site_fract_x
_atom_site_fract_y
_atom_site_fract_z
Sm1 0.000 0.000 0.214
Mg1 0.000 0.000 0.000
Mg2 0.000 0.500 0.139
Sn1 0.000 0.000 0.304
Sn2 0.000 0.000 0.500
Pb1 0.000 0.000 0.081
```

Computed properties:
calculated volume: 703 Å³ per cell
ΔH_f (0 K): -0.168 eV per atom
crystal system: tetragonal

=====

Record 6
RbIn10Ga2: relaxed, PBE-GGA.

```
data_RbIn10Ga2
_chemical_formula_sum 'Rb4 In40 Ga8'
_symmetry_space_group_name_H-M 'F m m m'
_symmetry_Int_Tables_number 69
_symmetry_space_group_name_Hall '-F 2 2'
_cell_length_a 6.268
_cell_length_b 15.003
_cell_length_c 15.466
_cell_angle_alpha 90.00
_cell_angle_beta 90.00
_cell_angle_gamma 90.00
loop_
_atom_site_label
_atom_site_fract_x
_atom_site_fract_y
_atom_site_fract_z
Rb1 0.000 0.000 0.000
In1 0.000 0.106 0.386
In2 0.000 0.172 0.182
In3 0.250 0.250 0.000
Ga1 0.250 0.000 0.250
```

Computed properties:
calculated volume: 1454 Å³ per cell
ΔH_f (0 K): -0.011 eV per atom
crystal system: orthorhombic

=====

Record 7
Ta2FeW: relaxed, PBE-GGA.

```
data_Ta2FeW
_chemical_formula_sum 'Ta4 Fe2 W2'
_symmetry_space_group_name_H-M 'I m m m'
_symmetry_Int_Tables_number 71
_symmetry_space_group_name_Hall '-I 2 2'
_cell_length_a 3.217
_cell_length_b 4.593
_cell_length_c 8.634
_cell_angle_alpha 90.00
_cell_angle_beta 90.00
_cell_angle_gamma 90.00
loop_
_atom_site_label
_atom_site_fract_x
_atom_site_fract_y
_atom_site_fract_z
Ta1 0.000 0.000 0.244
Fe1 0.000 0.500 0.500
W1 0.000 0.500 0.000
```

Computed properties:
calculated volume: 128 Å³ per cell
ΔH_f (0 K): 0.048 eV per atom
crystal system: orthorhombic

=====

Record 8
NaLiTa2Si: relaxed, PBE-GGA.

```
data_NaLiTa2Si
_chemical_formula_sum 'Na1 Li1 Ta2 Si1'
_symmetry_space_group_name_H-M 'P 4/m m m'
_symmetry_Int_Tables_number 123
_symmetry_space_group_name_Hall '-P 4 2'
_cell_length_a 4.813
_cell_length_b 4.813
_cell_length_c 4.751
_cell_angle_alpha 90.00
_cell_angle_beta 90.00
_cell_angle_gamma 90.00
loop_
_atom_site_label
_atom_site_fract_x
_atom_site_fract_y
_atom_site_fract_z
Na1 0.000 0.000 0.000
Li1 0.500 0.500 0.000
Ta1 0.000 0.500 0.500
Si1 0.500 0.500 0.500
```

Computed properties:
calculated volume: 110 Å³ per cell
crystal system: tetragonal
formation energy without anion corrections: 4.6 eV/f.u.

=====

Record 9
La2Cr2Br: relaxed, PBE-GGA.

```
data_La2Cr2Br
_chemical_formula_sum 'La4 Cr4 Br2'
_symmetry_space_group_name_H-M 'I 4/m m m'
_symmetry_Int_Tables_number 139
_symmetry_space_group_name_Hall '-I 4 2'
_cell_length_a 3.520
_cell_length_b 3.520
_cell_length_c 19.077
_cell_angle_alpha 90.00
_cell_angle_beta 90.00
_cell_angle_gamma 90.00
loop_
_atom_site_label
_atom_site_fract_x
_atom_site_fract_y
_atom_site_fract_z
La1 0.000 0.000 0.123
Cr1 0.000 0.500 0.250
Br1 0.000 0.000 0.500
```

Computed properties:
calculated volume: 236 Å³ per cell
crystal system: tetragonal
formation energy without anion corrections: -0.1 eV/f.u.

=====

Record 10
CuNi2Pb: relaxed, PBE-GGA.

```
data_CuNi2Pb
_chemical_formula_sum 'Cu2 Ni4 Pb2'
_symmetry_space_group_name_H-M 'I 4/m m m'
_symmetry_Int_Tables_number 139
_symmetry_space_group_name_Hall '-I 4 2'
_cell_length_a 3.983
_cell_length_b 3.983
_cell_length_c 7.189
_cell_angle_alpha 90.00
_cell_angle_beta 90.00
_cell_angle_gamma 90.00
loop_
_atom_site_label
_atom_site_fract_x
_atom_site_fract_y
_atom_site_fract_z
Cu1 0.000 0.000 0.000
Ni1 0.000 0.500 0.250
Pb1 0.000 0.000 0.500
```

Computed properties:
calculated volume: 114 Å³ per cell
ΔH_f (0 K): 0.164 eV per atom
crystal system: tetragonal

=====

Record 11
LaPr2Ir: relaxed, PBE-GGA.

```
data_LaPr2Ir
_chemical_formula_sum 'La4 Pr8 Ir4'
_symmetry_space_group_name_H-M 'C m c m'
_symmetry_Int_Tables_number 63
_symmetry_space_group_name_Hall '-C 2c 2'
_cell_length_a 3.983
_cell_length_b 12.444
_cell_length_c 10.023
_cell_angle_alpha 90.00
_cell_angle_beta 90.00
_cell_angle_gamma 90.00
loop_
_atom_site_label
_atom_site_fract_x
_atom_site_fract_y
_atom_site_fract_z
La1 0.000 0.086 0.250
Pr1 0.000 0.356 0.068
Ir1 0.000 0.246 0.750
```

Computed properties:
calculated volume: 497 Å³ per cell
ΔH_f (0 K): -0.416 eV per atom
offset from the most stable computed form: 35 meV per atom
crystal system: orthorhombic

=====

Number 1: magnetic moment 0.00 μB/f.u.. Number 2: magnetic moment 0.00 μB/f.u.. Number 3: magnetic moment 0.00 μB/f.u.. Number 4: magnetic moment 0.00 μB/f.u.. Number 5: magnetic moment 0.00 μB/f.u.. Number 6: magnetic moment 0.00 μB/f.u.. Number 7: magnetic moment 1.07 μB/f.u.. Number 8: magnetic moment 0.00 μB/f.u.. Number 9: magnetic moment 0.00 μB/f.u.. Number 10: magnetic moment 0.00 μB/f.u.. Number 11: magnetic moment 0.00 μB/f.u..